A relaxed structure of GdDyGe, computed with PBE-GGA.

a b c (Å): 5.0020 5.0020 5.0020
angles (deg): 60.00 60.00 60.00
Last column: nearest neighbours and their distance in Å.
Atoms (fractional coordinates):
1 Dy 0.0000 0.0000 0.0000  4 Ge 3.06, 4 Gd 3.06
2 Gd 0.2500 0.2500 0.2500  4 Dy 3.06
3 Ge 0.7500 0.7500 0.7500  4 Dy 3.06

Summary:
The calculation puts the electronic total energy at -4.2899 eV/atom. The value obtained for the total magnetization is 0.0 μB/f.u.